(1)
Compound: Sc2SiBr
Source: Alexandria
Functional: GGA-PBE
Structure: optimized geometry

a = 3.8956 Å, b = 3.8956 Å, c = 5.4577 Å
α = 90.00°, β = 90.00°, γ = 90.00°
With the nearest neighbours (Å) after each atom.
Space group P4/mmm (No. 123)
Symmetry-distinct sites (fractional):
Sc 0.0000 0.0000 0.0000 (multiplicity 1)  2 Si 2.73, 4 Br 2.75
Sc 0.5000 0.5000 0.5000 (multiplicity 1)  2 Br 2.73, 4 Si 2.75
Si 0.0000 0.0000 0.5000 (multiplicity 1)  6 Sc 2.73-2.75
Br 0.5000 0.5000 0.0000 (multiplicity 1)  6 Sc 2.73-2.75

Formation energy from raw total energies   -0.792 eV per atom
Crystal system   tetragonal


(2)
Compound: U3Tl4CdO12
Source: Alexandria
Functional: GGA-PBE
Structure: optimized geometry

a = 8.7205 Å, b = 8.7205 Å, c = 8.7205 Å
α = 90.00°, β = 90.00°, γ = 90.00°
With the nearest neighbours (Å) after each atom.
Space group Im-3m (No. 229)
Symmetry-distinct sites (fractional):
U 0.0000 0.0000 0.5000 (multiplicity 6)  6 O 1.97-2.18
Tl 0.2500 0.2500 0.2500 (multiplicity 8)  12 O 3.08-3.09
Cd 0.0000 0.0000 0.0000 (multiplicity 2)  6 O 2.39
O 0.0000 0.0000 0.2739 (multiplicity 12)  1 U 1.97
O 0.0000 0.2500 0.5000 (multiplicity 12)  2 U 2.18

Formation energy from raw total energies   -2.232 eV per atom
Crystal system   cubic


(3)
Compound: HoNi4C2
Source: Alexandria
Functional: GGA-PBE
Structure: optimized geometry

a = 3.4700 Å, b = 12.9704 Å, c = 3.4822 Å
α = 90.00°, β = 90.00°, γ = 90.00°
With the nearest neighbours (Å) after each atom.
Space group Cmmm (No. 65)
Symmetry-distinct sites (fractional):
Ho 0.0000 0.0000 0.0000 (multiplicity 2)  8 Ni 2.85-2.87, 8 C 2.85
Ni 0.0000 0.1763 0.5000 (multiplicity 4)  2 C 1.93
Ni 0.0000 0.3261 0.0000 (multiplicity 4)  2 C 1.92
C 0.0000 0.3893 0.5000 (multiplicity 4)  4 Ni 1.92-1.93

Formation energy from the elements   -0.42 eV per formula unit
Crystal system   orthorhombic


(4)
Compound: PmPa3
Source: Alexandria
Functional: GGA-PBE
Structure: optimized geometry

a = 4.7054 Å, b = 4.7054 Å, c = 9.5527 Å
α = 90.00°, β = 90.00°, γ = 90.00°
With the nearest neighbours (Å) after each atom.
Space group I4/mmm (No. 139)
Symmetry-distinct sites (fractional):
Pm 0.0000 0.0000 0.0000 (multiplicity 2)  12 Pa 3.33-3.35
Pa 0.0000 0.0000 0.5000 (multiplicity 2)  4 Pm 3.33, 8 Pa 3.35
Pa 0.0000 0.5000 0.2500 (multiplicity 4)  8 Pa 3.33-3.35, 4 Pm 3.35

Formation energy from the elements   0.85 eV per formula unit
Crystal system   tetragonal


(5)
Compound: MnCdIn2Bi
Source: Alexandria
Functional: GGA-PBE
Structure: optimized geometry

a = 5.1420 Å, b = 5.1420 Å, c = 5.2049 Å
α = 90.00°, β = 90.00°, γ = 90.00°
With the nearest neighbours (Å) after each atom.
Space group P4/mmm (No. 123)
Symmetry-distinct sites (fractional):
Mn 0.0000 0.0000 0.0000 (multiplicity 1)  4 In 2.57, 2 Cd 2.60
Cd 0.0000 0.0000 0.5000 (multiplicity 1)  2 Mn 2.60
In 0.0000 0.5000 0.0000 (multiplicity 2)  2 Mn 2.57
Bi 0.5000 0.5000 0.5000 (multiplicity 1)  4 Cd 3.64, 8 In 3.66

Formation energy from the elements   2.00 eV per formula unit
Crystal system   tetragonal


(6)
Compound: Pm3Pr3Sc2
Source: Alexandria
Functional: GGA-PBE
Structure: optimized geometry

a = 17.2258 Å, b = 5.5916 Å, c = 5.7726 Å
α = 90.00°, β = 109.37°, γ = 90.00°
With the nearest neighbours (Å) after each atom.
Space group C2/m (No. 12)
Symmetry-distinct sites (fractional):
Pm 0.0000 0.0000 0.0000 (multiplicity 2)  4 Pm 3.49-3.86, 4 Pr 3.62
Pm 0.1400 0.0000 0.5980 (multiplicity 4)  4 Sc 3.30-3.49, 1 Pm 3.49, 5 Pr 3.57-3.68
Pr 0.0000 0.5000 0.5000 (multiplicity 2)  4 Pr 3.48-3.89, 4 Pm 3.61
Pr 0.1404 0.5000 0.1845 (multiplicity 4)  4 Sc 3.30-3.49, 1 Pr 3.48, 5 Pm 3.57-3.68
Sc 0.2496 0.0000 0.1869 (multiplicity 4)  4 Pm 3.30-3.49, 4 Pr 3.30-3.49, 2 Sc 3.53

Formation energy from the elements   0.61 eV per formula unit
Crystal system   monoclinic


(7)
Compound: Nd2GaNi4Sb3
Source: Alexandria
Functional: GGA-PBE
Structure: optimized geometry

a = 4.3445 Å, b = 4.3445 Å, c = 10.1546 Å
α = 90.00°, β = 90.00°, γ = 90.00°
With the nearest neighbours (Å) after each atom.
Space group P-4m2 (No. 115)
Symmetry-distinct sites (fractional):
Nd 0.0000 0.5000 0.2487 (multiplicity 2)  6 Sb 3.29-3.35, 8 Ni 3.33-3.34, 2 Ga 3.35
Ga 0.0000 0.0000 0.5000 (multiplicity 1)  4 Ni 2.50
Ni 0.0000 0.0000 0.0000 (multiplicity 1)  4 Sb 2.55
Ni 0.0000 0.5000 0.6213 (multiplicity 2)  3 Sb 2.50-2.51, 2 Ga 2.50
Ni 0.5000 0.5000 0.0000 (multiplicity 1)  4 Sb 2.55
Sb 0.0000 0.5000 0.8682 (multiplicity 2)  5 Ni 2.51-2.55
Sb 0.5000 0.5000 0.5000 (multiplicity 1)  4 Ni 2.50

Formation energy from raw total energies   -0.674 eV per atom
Crystal system   tetragonal


(8)
Compound: Li4TlBi3
Source: Alexandria
Functional: GGA-PBE
Structure: optimized geometry

a = 5.1102 Å, b = 5.1102 Å, c = 24.7133 Å
α = 90.00°, β = 90.00°, γ = 120.00°
With the nearest neighbours (Å) after each atom.
Space group R-3m (No. 166, hexagonal axes)
Symmetry-distinct sites (fractional):
Li 0.0000 0.0000 0.1251 (multiplicity 6)  7 Bi 3.09-3.13, 1 Tl 3.09
Li 0.0000 0.0000 0.3741 (multiplicity 6)  5 Bi 3.06-3.13, 3 Tl 3.12
Tl 0.0000 0.0000 0.0000 (multiplicity 3)  8 Li 3.09-3.12
Bi 0.0000 0.0000 0.2501 (multiplicity 6)  8 Li 3.06-3.13
Bi 0.0000 0.0000 0.5000 (multiplicity 3)  8 Li 3.11-3.12

Formation energy from the elements   -2.69 eV per formula unit
Crystal system   trigonal


no.,density (g/cm3),final energy (eV per atom)
1,3.97,-5.73
2,9.19,-7.42
3,8.98,-6.65
4,13.16,-8.10
5,7.31,-3.49
6,6.00,-5.08
7,8.30,-5.48
8,7.66,-3.04